First-principles (PBE) data for crystalline CsYSe2Br at its relaxed geometry, as listed in Alexandria.

The structure belongs to space group P4/mmm (No. 123); the cell edges are 5.353, 5.353 and 13.180 Å and the angles 90.00°, 90.00° and 90.00°. The inequivalent atoms are Cs at (0.000, 0.000, 0.000), Y at (0.000, 0.000, 0.500), Se at (0.000, 0.500, 0.500) and Br at (0.500, 0.500, 0.000).

The calculation puts the energy above the most stable polymorph in this dataset at 349 meV/atom. The calculation puts the raw formation energy at -1061.8 meV per atom.